Below is a relaxed Li3SbP2O8 crystal, with properties calculated at the PBE level.

Lattice parameters (Å, degrees): 8.4969 8.4969 7.4708 90.00 90.00 120.00
With the nearest neighbours (Å) after each atom.
Space group P-3 (No. 147)
Symmetry-distinct sites (fractional):
1 Li 0.0000 0.0000 0.0000 [1 per cell]  6 O 2.27
2 Li 0.0054 0.6604 0.8607 [6 per cell]  3 O 1.92-2.05
3 Li 0.3333 0.6667 0.9997 [2 per cell]  3 O 1.97
4 Sb 0.0000 0.0000 0.5000 [1 per cell]  12 O 2.62-2.75
5 Sb 0.3333 0.6667 0.5466 [2 per cell]  3 O 2.18
6 P 0.0188 0.6909 0.2530 [6 per cell]  4 O 1.54-1.60
7 O 0.0917 0.2127 0.7799 [6 per cell]  1 P 1.54
8 O 0.1160 0.5237 0.7401 [6 per cell]  1 P 1.60
9 O 0.1245 0.7638 0.4299 [6 per cell]  1 P 1.54
10 O 0.1498 0.7221 0.0954 [6 per cell]  1 P 1.55

Output
- Formation energy from raw total energies: -2.11 eV per atom
- Polymorph energy (0 for the lowest one): 17.9 meV per atom

---

Below is a relaxed Fe2GeIr crystal, with properties calculated at the PBE level.

Lattice parameters (Å, degrees): 5.1746 5.1746 10.9337 90.00 90.00 90.00
With the nearest neighbours (Å) after each atom.
Space group I-42d (No. 122)
Symmetry-distinct sites (fractional):
1 Fe 0.2415 0.2500 0.1250 [8 per cell]  2 Ir 2.26, 2 Ge 2.31
2 Ge 0.0000 0.0000 0.5000 [4 per cell]  4 Fe 2.31
3 Ir 0.0000 0.0000 0.0000 [4 per cell]  4 Fe 2.26

Output
- Formation enthalpy at 0 K: 20.858 kcal/mol of atoms

---

Below is a relaxed Li2PuCu2P2 crystal, with properties calculated at the PBE level.

Lattice parameters (Å, degrees): 3.9820 3.9820 22.6243 90.00 90.00 120.00
With the nearest neighbours (Å) after each atom.
Space group R-3m (No. 166, hexagonal axes)
Symmetry-distinct sites (fractional):
1 Li 0.0000 0.0000 0.1437 [6 per cell]  3 Cu 2.51, 3 Li 2.52, 4 P 2.53-2.74
2 Pu 0.0000 0.0000 0.0000 [3 per cell]  6 P 2.90, 6 Cu 3.21
3 Cu 0.0000 0.0000 0.4324 [6 per cell]  3 P 2.35, 3 Li 2.51
4 P 0.0000 0.0000 0.2555 [6 per cell]  3 Cu 2.35, 1 Li 2.53

Output
- Formation enthalpy at 0 K: -14.671 kcal/mol of atoms

---

Below is a relaxed Ac4Sn8Hg crystal, with properties calculated at the PBE level.

Lattice parameters (Å, degrees): 4.5739 4.7863 18.9567 90.00 90.00 90.00
With the nearest neighbours (Å) after each atom.
Space group Pmm2 (No. 25)
Symmetry-distinct sites (fractional):
1 Ac 0.0000 0.0000 0.0000 [1 per cell]  10 Sn 3.38-3.56
2 Ac 0.0000 0.5000 0.4781 [1 per cell]  10 Sn 3.44-3.74
3 Ac 0.5000 0.0000 0.7893 [1 per cell]  4 Hg 3.59, 6 Sn 3.60-3.93
4 Ac 0.5000 0.5000 0.2786 [1 per cell]  10 Sn 3.43-3.72
5 Sn 0.0000 0.0000 0.3264 [1 per cell]  2 Sn 3.00
6 Sn 0.0000 0.0000 0.6206 [1 per cell]  2 Hg 3.01, 4 Sn 3.31
7 Sn 0.0000 0.5000 0.1346 [1 per cell]  4 Sn 3.31, 4 Ac 3.50-3.56
8 Sn 0.0000 0.5000 0.8636 [1 per cell]  1 Hg 2.79, 2 Sn 2.97
9 Sn 0.5000 0.0000 0.1436 [1 per cell]  4 Sn 3.31, 4 Ac 3.50-3.56
10 Sn 0.5000 0.0000 0.4286 [1 per cell]  2 Sn 3.00
11 Sn 0.5000 0.5000 0.6182 [1 per cell]  2 Hg 2.95
12 Sn 0.5000 0.5000 0.9637 [1 per cell]  2 Sn 2.97
13 Hg 0.0000 0.5000 0.7165 [1 per cell]  5 Sn 2.79-3.01

Output
- Formation enthalpy at 0 K: -12.192 kcal/mol of atoms

---

Below is a relaxed PmPr6Dy crystal, with properties calculated at the PBE level.

Lattice parameters (Å, degrees): 5.2110 5.2110 10.4167 90.00 90.00 90.00
With the nearest neighbours (Å) after each atom.
Space group P4/mmm (No. 123)
Symmetry-distinct sites (fractional):
1 Pm 0.0000 0.0000 0.0000 [1 per cell]  12 Pr 3.68-3.70
2 Pr 0.0000 0.5000 0.2515 [4 per cell]  2 Dy 3.67, 8 Pr 3.67-3.70, 2 Pm 3.70
3 Pr 0.5000 0.5000 0.0000 [1 per cell]  4 Pm 3.68, 8 Pr 3.70
4 Pr 0.5000 0.5000 0.5000 [1 per cell]  8 Pr 3.67, 4 Dy 3.68
5 Dy 0.0000 0.0000 0.5000 [1 per cell]  12 Pr 3.67-3.68

Output
- Formation enthalpy at 0 K: 0.329 kcal/mol of atoms

---

Below is a relaxed Mg14CrCd crystal, with properties calculated at the PBE level.

Lattice parameters (Å, degrees): 10.3201 6.2958 10.8663 90.00 90.00 90.00
With the nearest neighbours (Å) after each atom.
Space group Amm2 (No. 38)
Symmetry-distinct sites (fractional):
1 Mg 0.0000 0.0000 0.9998 [2 per cell]  12 Mg 3.13-3.21
2 Mg 0.0000 0.0000 0.5000 [2 per cell]  12 Mg 3.13-3.23
3 Mg 0.0000 0.2504 0.2488 [4 per cell]  12 Mg 3.13-3.24
4 Mg 0.2508 0.0000 0.3322 [4 per cell]  11 Mg 3.14-3.17, 1 Cd 3.15
5 Mg 0.2544 0.0000 0.8342 [4 per cell]  11 Mg 3.10-3.20, 1 Cr 3.10
6 Mg 0.2588 0.2471 0.0808 [8 per cell]  1 Cr 3.07, 1 Cd 3.09, 10 Mg 3.10-3.24
7 Mg 0.5000 0.2491 0.7513 [4 per cell]  8 Mg 3.10-3.16, 2 Cr 3.11-3.17, 2 Cd 3.12-3.16
8 Cr 0.5000 0.0000 0.9984 [2 per cell]  10 Mg 3.07-3.17, 2 Cd 3.15
9 Cd 0.5000 0.0000 0.4988 [2 per cell]  10 Mg 3.09-3.16, 2 Cr 3.15

Output
- Formation enthalpy at 0 K: 1.007 kcal/mol of atoms
- Polymorph energy (0 for the lowest one): 2.9 meV per atom

---

Below is a relaxed TaZn2AuSe crystal, with properties calculated at the PBE level.

Lattice parameters (Å, degrees): 4.7031 4.7031 4.7873 90.00 90.00 90.00
With the nearest neighbours (Å) after each atom.
Space group P4/mmm (No. 123)
Symmetry-distinct sites (fractional):
1 Ta 0.0000 0.0000 0.0000 [1 per cell]  2 Se 2.39
2 Zn 0.0000 0.5000 0.5000 [2 per cell]  2 Se 2.35
3 Au 0.5000 0.5000 0.0000 [1 per cell]  4 Ta 3.33, 8 Zn 3.36
4 Se 0.0000 0.0000 0.5000 [1 per cell]  4 Zn 2.35, 2 Ta 2.39

Output
- Formation energy from raw total energies: 0.80 eV per atom

---

Below is a relaxed Pm2PaTl3Te6 crystal, with properties calculated at the PBE level.

Lattice parameters (Å, degrees): 7.7525 13.4215 8.6815 90.00 107.30 90.00
With the nearest neighbours (Å) after each atom.
Space group C2/m (No. 12)
Symmetry-distinct sites (fractional):
1 Pm 0.0000 0.1663 0.0000 [4 per cell]  6 Te 3.18
2 Pa 0.0000 0.5000 0.0000 [2 per cell]  6 Te 3.12
3 Tl 0.0000 0.0000 0.5000 [2 per cell]  6 Te 3.46-3.51
4 Tl 0.0000 0.3313 0.5000 [4 per cell]  6 Te 3.46-3.50
5 Te 0.2362 0.3365 0.2189 [8 per cell]  1 Pa 3.12, 2 Pm 3.18, 2 Tl 3.46
6 Te 0.2471 0.0000 0.2207 [4 per cell]  1 Pa 3.12, 2 Pm 3.18, 2 Tl 3.47

Output
- Formation energy from raw total energies: -0.90 eV per atom

---

Below is a relaxed BiP2NO crystal, with properties calculated at the PBE level.

Lattice parameters (Å, degrees): 3.6397 3.6397 5.9530 90.00 90.00 90.00
With the nearest neighbours (Å) after each atom.
Space group P4/mmm (No. 123)
Symmetry-distinct sites (fractional):
1 Bi 0.0000 0.0000 0.0000 [1 per cell]  4 O 2.57
2 P 0.0000 0.5000 0.5000 [2 per cell]  2 N 1.82
3 N 0.5000 0.5000 0.5000 [1 per cell]  4 P 1.82
4 O 0.5000 0.5000 0.0000 [1 per cell]  4 Bi 2.57

Output
- Formation energy from raw total energies: 0.63 eV per atom
- Polymorph energy (0 for the lowest one): 0.0 meV per atom

---

Below is a relaxed Cr6Ni23N crystal, with properties calculated at the PBE level.

Lattice parameters (Å, degrees): 11.1315 11.1315 11.1315 90.00 90.00 90.00
With the nearest neighbours (Å) after each atom.
Space group Fm-3m (No. 225)
Symmetry-distinct sites (fractional):
1 Cr 0.0000 0.0000 0.1879 [24 per cell]  1 N 2.09
2 Ni 0.0000 0.0000 0.5000 [4 per cell]  8 Ni 2.29
3 Ni 0.0000 0.2500 0.2500 [24 per cell]  8 Ni 2.27-2.45
4 Ni 0.1190 0.1190 0.3810 [32 per cell]  7 Ni 2.29-2.49
5 Ni 0.1689 0.1689 0.1689 [32 per cell]  6 Ni 2.27-2.49
6 N 0.0000 0.0000 0.0000 [4 per cell]  6 Cr 2.09

Output
- Formation energy from raw total energies: 0.13 eV per atom

---

Below is a relaxed Tc2Ir2W crystal, with properties calculated at the PBE level.

Lattice parameters (Å, degrees): 7.4531 7.4531 2.7715 90.00 90.00 90.00
With the nearest neighbours (Å) after each atom.
Space group P4/mbm (No. 127)
Symmetry-distinct sites (fractional):
1 Tc 0.1732 0.3268 0.0000 [4 per cell]  6 Ir 2.55-2.64, 2 Tc 2.77
2 Ir 0.1239 0.6239 0.5000 [4 per cell]  6 Tc 2.55-2.64, 3 Ir 2.61-2.77
3 W 0.0000 0.0000 0.5000 [2 per cell]  2 W 2.77, 4 Ir 2.95, 8 Tc 3.09

Output
- Formation enthalpy at 0 K: 2.613 kcal/mol of atoms

---

Below is a relaxed Zr2Sc2Ru crystal, with properties calculated at the PBE level.

Lattice parameters (Å, degrees): 6.6612 6.6612 5.0416 90.00 90.00 90.00
With the nearest neighbours (Å) after each atom.
Space group P4/mbm (No. 127)
Symmetry-distinct sites (fractional):
1 Zr 0.1508 0.3492 0.0000 [4 per cell]  2 Ru 2.53
2 Sc 0.1661 0.6661 0.5000 [4 per cell]  6 Zr 3.05-3.29, 1 Sc 3.13
3 Ru 0.0000 0.0000 0.0000 [2 per cell]  4 Zr 2.53

Output
- Formation enthalpy at 0 K: -1.872 kcal/mol of atoms
- Polymorph energy (0 for the lowest one): 85.3 meV per atom

---

Below is a relaxed Sc2CoHg crystal, with properties calculated at the PBE level.

Lattice parameters (Å, degrees): 3.5852 3.5852 6.1724 90.00 90.00 90.00
With the nearest neighbours (Å) after each atom.
Space group P4mm (No. 99)
Symmetry-distinct sites (fractional):
1 Sc 0.0000 0.0000 0.0000 [1 per cell]  1 Co 2.58
2 Sc 0.5000 0.5000 0.3120 [1 per cell]  4 Co 2.62, 1 Hg 2.78
3 Co 0.0000 0.0000 0.4182 [1 per cell]  5 Sc 2.58-2.62
4 Hg 0.5000 0.5000 0.7620 [1 per cell]  5 Sc 2.78-2.93

Output
- Formation enthalpy at 0 K: -2.676 kcal/mol of atoms

---

Below is a relaxed PmScAu2O8 crystal, with properties calculated at the PBE level.

Lattice parameters (Å, degrees): 5.2821 5.2821 10.4608 90.00 90.00 90.00
With the nearest neighbours (Å) after each atom.
Space group I-4m2 (No. 119)
Symmetry-distinct sites (fractional):
1 Pm 0.0000 0.0000 0.0000 [2 per cell]  8 O 2.40
2 Sc 0.0000 0.5000 0.2500 [2 per cell]  8 O 2.24
3 Au 0.0000 0.0000 0.5000 [2 per cell]  8 O 2.23
4 Au 0.0000 0.5000 0.7500 [2 per cell]  8 O 2.25
5 O 0.2350 0.2368 0.3691 [16 per cell]  2 Au 2.23-2.25, 1 Sc 2.24, 1 Pm 2.40, 1 O 2.48

Output
- Formation energy from raw total energies: -1.03 eV per atom

---

Below is a relaxed Tl3HgI crystal, with properties calculated at the PBE level.

Lattice parameters (Å, degrees): 5.8994 5.8994 5.8994 90.00 90.00 90.00
With the nearest neighbours (Å) after each atom.
Space group Pm-3m (No. 221)
Symmetry-distinct sites (fractional):
1 Tl 0.0000 0.0000 0.5000 [3 per cell]  2 Hg 2.95
2 Hg 0.0000 0.0000 0.0000 [1 per cell]  6 Tl 2.95
3 I 0.5000 0.5000 0.5000 [1 per cell]  12 Tl 4.17

Output
- Formation energy from raw total energies: -0.02 eV per atom
- Polymorph energy (0 for the lowest one): 0.0 meV per atom

---

Below is a relaxed Ac6Pr3Tm2 crystal, with properties calculated at the PBE level.

Lattice parameters (Å, degrees): 6.6325 8.5479 8.5480 107.20 104.89 97.46
With the nearest neighbours (Å) after each atom.
Space group P-1 (No. 2)
Symmetry-distinct sites (fractional):
1 Ac 0.0541 0.4019 0.1805 [2 per cell]  2 Tm 3.75-3.80, 5 Pr 3.77-3.90, 5 Ac 3.80-3.94
2 Ac 0.1356 0.2305 0.5500 [2 per cell]  4 Pr 3.80-3.90, 6 Ac 3.80-3.88, 2 Tm 3.83-3.90
3 Ac 0.3214 0.8703 0.2643 [2 per cell]  3 Tm 3.68-3.84, 3 Pr 3.74-3.96, 6 Ac 3.80-3.94
4 Pr 0.4061 0.6860 0.6440 [2 per cell]  8 Ac 3.74-3.96, 2 Tm 3.76-3.77, 2 Pr 3.78-3.96
5 Pr 0.5000 0.5000 0.0000 [1 per cell]  8 Ac 3.78-3.90, 2 Pr 3.78, 2 Tm 3.82
6 Tm 0.2324 0.0457 0.9135 [2 per cell]  7 Ac 3.68-3.90, 3 Pr 3.76-3.82, 2 Tm 3.76-3.83

Output
- Formation enthalpy at 0 K: 1.133 kcal/mol of atoms

---

Below is a relaxed Be3BiSe crystal, with properties calculated at the PBE level.

Lattice parameters (Å, degrees): 4.4729 4.4729 4.4729 90.00 90.00 90.00
With the nearest neighbours (Å) after each atom.
Space group Pm-3m (No. 221)
Symmetry-distinct sites (fractional):
1 Be 0.0000 0.0000 0.5000 [3 per cell]  2 Se 2.24
2 Bi 0.5000 0.5000 0.5000 [1 per cell]  12 Be 3.16
3 Se 0.0000 0.0000 0.0000 [1 per cell]  6 Be 2.24

Output
- Formation energy from raw total energies: 0.76 eV per atom
- Polymorph energy (0 for the lowest one): 0.0 meV per atom

---

Below is a relaxed Er2Tm3Ni4 crystal, with properties calculated at the PBE level.

Lattice parameters (Å, degrees): 7.2758 7.1827 7.3927 90.00 106.82 90.00
With the nearest neighbours (Å) after each atom.
Space group P2_1/c (No. 14)
Symmetry-distinct sites (fractional):
1 Er 0.2005 0.1796 0.0940 [4 per cell]  6 Ni 2.89-3.05
2 Tm 0.2363 0.6713 0.2508 [4 per cell]  6 Ni 2.70-2.86
3 Tm 0.5000 0.0000 0.5000 [2 per cell]  6 Ni 2.87-2.96
4 Ni 0.0896 0.5281 0.8803 [4 per cell]  1 Ni 2.52, 2 Tm 2.70
5 Ni 0.4987 0.1196 0.8825 [4 per cell]  1 Ni 2.44

Output
- Formation enthalpy at 0 K: -9.790 kcal/mol of atoms

---

Below is a relaxed Sr2Cu3Sn4Pt crystal, with properties calculated at the PBE level.

Lattice parameters (Å, degrees): 4.6362 4.6362 10.7327 90.00 90.00 90.00
With the nearest neighbours (Å) after each atom.
Space group P-4m2 (No. 115)
Symmetry-distinct sites (fractional):
1 Sr 0.0000 0.5000 0.2407 [2 per cell]  6 Cu 3.47-3.56, 2 Pt 3.47, 8 Sn 3.50-3.62
2 Cu 0.0000 0.0000 0.0000 [1 per cell]  4 Sn 2.68
3 Cu 0.0000 0.5000 0.6309 [2 per cell]  5 Sn 2.61-2.71
4 Sn 0.0000 0.0000 0.5000 [1 per cell]  4 Cu 2.71
5 Sn 0.0000 0.5000 0.8741 [2 per cell]  3 Cu 2.61-2.68, 2 Pt 2.68
6 Sn 0.5000 0.5000 0.5000 [1 per cell]  4 Cu 2.71
7 Pt 0.5000 0.5000 0.0000 [1 per cell]  4 Sn 2.68

Output
- Formation enthalpy at 0 K: -10.092 kcal/mol of atoms

---

Below is a relaxed KSbTe2Br crystal, with properties calculated at the PBE level.

Lattice parameters (Å, degrees): 5.9541 5.9541 6.2685 90.00 90.00 90.00
With the nearest neighbours (Å) after each atom.
Space group P4/mmm (No. 123)
Symmetry-distinct sites (fractional):
1 K 0.0000 0.0000 0.0000 [1 per cell]  4 Te 2.98, 2 Sb 3.13
2 Sb 0.0000 0.0000 0.5000 [1 per cell]  2 K 3.13
3 Te 0.0000 0.5000 0.0000 [2 per cell]  2 K 2.98
4 Br 0.5000 0.5000 0.5000 [1 per cell]  4 Sb 4.21, 8 Te 4.32

Output
- Formation energy from raw total energies: 0.93 eV per atom
- Polymorph energy (0 for the lowest one): 671.2 meV per atom

---

Density for the records above, in order: 3.55, 8.54, 7.17, 8.24, 6.77, 2.37, 9.22, 7.32, 6.34, 8.07, 16.49, 5.54, 7.31, 8.10, 7.61, 8.08, 5.84, 9.66, 7.46, 3.71 g/cm3